! PBE-GGA Pm8Ge3SeS4, optimized geometry; values from VASP
! Formation energy without anion corrections (eV/atom): -1.61
&SYSTEM
  ibrav = 0, nat = 16, ntyp = 4
/
ATOMIC_SPECIES
Pm 145.00 Pm.upf
Ge 72.64 Ge.upf
Se 78.96 Se.upf
S 32.06 S.upf
CELL_PARAMETERS angstrom
4.166 2.405 6.759
-4.166 2.405 6.759
0.000 -4.811 6.759
ATOMIC_POSITIONS crystal
Pm 0.249 0.249 0.249
Pm 0.253 0.253 0.745
Pm 0.253 0.745 0.253
Pm 0.255 0.747 0.747
Pm 0.745 0.253 0.253
Pm 0.747 0.255 0.747
Pm 0.747 0.747 0.255
Pm 0.751 0.751 0.751
Ge 0.000 0.500 0.500
Ge 0.500 0.000 0.500
Ge 0.500 0.500 0.000
Se 0.000 0.000 0.000
S 0.000 0.000 0.500
S 0.000 0.500 0.000
S 0.500 0.000 0.000
S 0.500 0.500 0.500

=====

! PBE-GGA Mg3BiRh4, optimized geometry; values from VASP
! Energy of formation from the pure elements (eV/atom): -0.463
&SYSTEM
  ibrav = 0, nat = 8, ntyp = 3
/
ATOMIC_SPECIES
Mg 24.30 Mg.upf
Bi 208.98 Bi.upf
Rh 102.91 Rh.upf
CELL_PARAMETERS angstrom
2.250 1.299 7.358
-2.250 1.299 7.358
0.000 -2.598 7.358
ATOMIC_POSITIONS crystal
Mg 0.000 0.000 0.000
Mg 0.256 0.256 0.256
Mg 0.744 0.744 0.744
Bi 0.500 0.500 0.500
Rh 0.125 0.125 0.125
Rh 0.376 0.376 0.376
Rh 0.624 0.624 0.624
Rh 0.875 0.875 0.875

=====

! PBE-GGA La2Pm6Ho3Tm, optimized geometry; values from VASP
! Energy of formation from the pure elements (eV/atom): 0.020
&SYSTEM
  ibrav = 0, nat = 12, ntyp = 4
/
ATOMIC_SPECIES
La 138.91 La.upf
Pm 145.00 Pm.upf
Ho 164.93 Ho.upf
Tm 168.93 Tm.upf
CELL_PARAMETERS angstrom
3.141 -5.441 0.000
3.141 5.441 0.000
-2.100 0.000 11.806
ATOMIC_POSITIONS crystal
La 0.167 0.833 0.000
La 0.833 0.167 0.000
Pm 0.084 0.415 0.746
Pm 0.253 0.253 0.255
Pm 0.415 0.084 0.746
Pm 0.585 0.916 0.254
Pm 0.747 0.747 0.745
Pm 0.916 0.585 0.254
Ho 0.000 0.000 0.500
Ho 0.334 0.666 0.500
Ho 0.666 0.334 0.500
Tm 0.500 0.500 0.000

=====

! PBE-GGA ScCo2NiC, optimized geometry; values from VASP
! Energy of formation from the pure elements (eV/atom): -0.269
&SYSTEM
  ibrav = 0, nat = 5, ntyp = 4
/
ATOMIC_SPECIES
Sc 44.96 Sc.upf
Co 58.93 Co.upf
Ni 58.69 Ni.upf
C 12.01 C.upf
CELL_PARAMETERS angstrom
3.800 0.000 0.000
0.000 3.800 0.000
0.000 0.000 3.897
ATOMIC_POSITIONS crystal
Sc 0.000 0.000 0.000
Co 0.000 0.500 0.500
Co 0.500 0.000 0.500
Ni 0.500 0.500 0.000
C 0.500 0.500 0.500

=====

! PBE-GGA GdGePb2, optimized geometry; values from VASP
! Energy of formation from the pure elements (eV/atom): 0.207
&SYSTEM
  ibrav = 0, nat = 12, ntyp = 3
/
ATOMIC_SPECIES
Gd 157.25 Gd.upf
Ge 72.64 Ge.upf
Pb 207.20 Pb.upf
CELL_PARAMETERS angstrom
3.597 0.000 0.000
-1.798 3.115 0.000
0.000 0.000 32.611
ATOMIC_POSITIONS crystal
Gd 0.000 0.000 0.000
Gd 0.333 0.667 0.667
Gd 0.667 0.333 0.333
Ge 0.000 0.000 0.500
Ge 0.333 0.667 0.167
Ge 0.667 0.333 0.833
Pb 0.000 0.000 0.098
Pb 0.000 0.000 0.902
Pb 0.333 0.667 0.569
Pb 0.333 0.667 0.765
Pb 0.667 0.333 0.235
Pb 0.667 0.333 0.431

=====

! PBE-GGA Al2MoCl, optimized geometry; values from VASP
! Formation energy without anion corrections (eV/atom): 0.22
&SYSTEM
  ibrav = 0, nat = 4, ntyp = 3
/
ATOMIC_SPECIES
Al 26.98 Al.upf
Mo 95.94 Mo.upf
Cl 35.45 Cl.upf
CELL_PARAMETERS angstrom
2.837 0.000 0.000
0.000 4.627 0.000
0.000 0.000 5.413
ATOMIC_POSITIONS crystal
Al 0.000 0.000 0.000
Al 0.500 0.500 0.337
Mo 0.500 0.500 0.856
Cl 0.000 0.000 0.439